{"formula": "ThIn2As2Rh7", "functional": "PBE-GGA", "state": "relaxed", "e_form_mev_per_atom": -395, "lattice_angstrom": [[2.8207, -2.8060, 0.0000], [2.8207, 2.8060, 0.0000], [-2.0270, 0.0000, 14.2078]], "species": ["Th", "In", "In", "As", "As", "Rh", "Rh", "Rh", "Rh", "Rh", "Rh", "Rh"], "fractional_positions": [[0.0000, 0.0000, 0.0000], [0.1125, 0.1125, 0.3995], [0.8875, 0.8875, 0.6005], [0.4101, 0.4101, 0.7471], [0.5899, 0.5899, 0.2529], [0.0552, 0.5557, 0.1545], [0.3759, 0.3759, 0.5791], [0.4443, 0.9448, 0.8455], [0.5000, 0.5000, 0.0000], [0.5557, 0.0552, 0.1545], [0.6241, 0.6241, 0.4209], [0.9448, 0.4443, 0.8455]]}